This record from Alexandria describes a relaxed SmScS crystal. The functional is GGA-PBE.

Computed properties:
symmetry: P3m1 (156)
final energy: -18.8 eV/cell

Cell: 3.7234 3.7234 6.1364 Å, 90.00 90.00 120.00°
With the nearest neighbours (Å) after each atom.
Fractional coordinates of all 3 atoms:
Sm 0.0000 0.0000 0.0000  3 S 2.80
Sc 0.6667 0.3333 0.4789  3 S 2.57
S 0.3333 0.6667 0.7081  3 Sc 2.57, 3 Sm 2.80

This record from Alexandria describes a relaxed SmSc2S4 crystal. The functional is GGA-PBE.

Computed properties:
symmetry: Cmcm (63)
final energy: -95.6 eV/cell

Cell: 6.3980 6.3980 12.7173 Å, 90.00 90.00 146.03°
With the nearest neighbours (Å) after each atom.
Fractional coordinates of all 14 atoms:
Sm 0.1216 0.8784 0.7500  6 S 2.79-2.85
Sm 0.8784 0.1216 0.2500  6 S 2.79-2.85
Sc 0.3714 0.6286 0.5644  6 S 2.56-2.64
Sc 0.3714 0.6286 0.9356  6 S 2.56-2.64
Sc 0.6286 0.3714 0.0644  6 S 2.56-2.64
Sc 0.6286 0.3714 0.4356  6 S 2.56-2.64
S 0.0000 0.0000 0.0000  4 Sc 2.58
S 0.0000 0.0000 0.5000  4 Sc 2.58
S 0.2712 0.7288 0.1164  3 Sc 2.61-2.64, 2 Sm 2.85
S 0.2712 0.7288 0.3836  3 Sc 2.61-2.64, 2 Sm 2.85
S 0.4522 0.5478 0.7500  2 Sc 2.56, 2 Sm 2.79
S 0.5478 0.4522 0.2500  2 Sc 2.56, 2 Sm 2.79
S 0.7288 0.2712 0.6164  3 Sc 2.61-2.64, 2 Sm 2.85
S 0.7288 0.2712 0.8836  3 Sc 2.61-2.64, 2 Sm 2.85

This record from Alexandria describes a relaxed SmSc2S3 crystal. The functional is GGA-PBE.

Computed properties:
symmetry: Cmcm (63)
ΔE to the lowest computed polymorph: 574 meV per atom

Cell: 7.7301 7.7301 5.6474 Å, 90.00 90.00 102.42°
With the nearest neighbours (Å) after each atom.
Fractional coordinates of all 12 atoms:
Sm 0.0970 0.9030 0.7500  6 S 2.86-3.20
Sm 0.9030 0.0970 0.2500  6 S 2.86-3.20
Sc 0.3218 0.3218 0.0000  4 S 2.49-2.52
Sc 0.3218 0.3218 0.5000  4 S 2.49-2.52
Sc 0.6782 0.6782 0.0000  4 S 2.49-2.52
Sc 0.6782 0.6782 0.5000  4 S 2.49-2.52
S 0.0507 0.2608 0.7500  2 Sc 2.49
S 0.2608 0.0507 0.2500  2 Sc 2.49
S 0.4027 0.5973 0.2500  4 Sc 2.52
S 0.5973 0.4027 0.7500  4 Sc 2.52
S 0.7392 0.9493 0.7500  2 Sc 2.49
S 0.9493 0.7392 0.2500  2 Sc 2.49

This record from Alexandria describes a relaxed SmScS3 crystal. The functional is GGA-PBE.

Computed properties:
symmetry: Pnma (62)
final energy: -133.8 eV/cell

Cell: 7.1190 9.5670 6.4603 Å, 90.00 90.00 90.00°
With the nearest neighbours (Å) after each atom.
Fractional coordinates of all 20 atoms:
Sm 0.0999 0.2500 0.0391  6 S 2.79-2.96
Sm 0.4001 0.7500 0.5391  6 S 2.79-2.96
Sm 0.5999 0.2500 0.4609  6 S 2.79-2.96
Sm 0.9001 0.7500 0.9609  6 S 2.79-2.96
Sc 0.0000 0.0000 0.5000  6 S 2.55-2.59
Sc 0.0000 0.5000 0.5000  6 S 2.55-2.59
Sc 0.5000 0.0000 0.0000  6 S 2.55-2.59
Sc 0.5000 0.5000 0.0000  6 S 2.55-2.59
S 0.0411 0.7500 0.3647  2 Sc 2.56, 2 Sm 2.79-2.80
S 0.1859 0.5660 0.8228  2 Sc 2.55-2.59, 1 Sm 2.83
S 0.1859 0.9340 0.8228  2 Sc 2.55-2.59, 1 Sm 2.83
S 0.3141 0.0660 0.3228  2 Sc 2.55-2.59, 1 Sm 2.83
S 0.3141 0.4340 0.3228  2 Sc 2.55-2.59, 1 Sm 2.83
S 0.4589 0.2500 0.8647  2 Sc 2.56, 2 Sm 2.79-2.80
S 0.5411 0.7500 0.1353  2 Sc 2.56, 2 Sm 2.79-2.80
S 0.6859 0.5660 0.6772  2 Sc 2.55-2.59, 1 Sm 2.83
S 0.6859 0.9340 0.6772  2 Sc 2.55-2.59, 1 Sm 2.83
S 0.8141 0.0660 0.1772  2 Sc 2.55-2.59, 1 Sm 2.83
S 0.8141 0.4340 0.1772  2 Sc 2.55-2.59, 1 Sm 2.83
S 0.9589 0.2500 0.6353  2 Sc 2.56, 2 Sm 2.79-2.80